Record 1
! Tm3AgSb (PBE, relaxed); values from VASP
! * formation energy without anion corrections: -179 kJ/mol of formula units
&SYSTEM
  ibrav = 0, nat = 10, ntyp = 3
/
ATOMIC_SPECIES
Tm 168.93 Tm.upf
Ag 107.87 Ag.upf
Sb 121.76 Sb.upf
CELL_PARAMETERS angstrom
6.2922 0.0000 0.0000
0.0000 5.2768 0.0000
0.0000 0.0000 8.5691
ATOMIC_POSITIONS crystal
Tm 0.0000 0.0000 0.0000
Tm 0.2500 0.0000 0.3575
Tm 0.2500 0.5000 0.7635
Tm 0.5000 0.0000 0.0000
Tm 0.7500 0.0000 0.6425
Tm 0.7500 0.5000 0.2364
Ag 0.2500 0.0000 0.6892
Ag 0.7500 0.0000 0.3108
Sb 0.2500 0.5000 0.1418
Sb 0.7500 0.5000 0.8582

=====

Record 2
! Pm2Y2Mg15 (PBE, relaxed); values from VASP
! * formation energy: 2.5 kJ/mol of atoms
&SYSTEM
  ibrav = 0, nat = 19, ntyp = 3
/
ATOMIC_SPECIES
Pm 145.00 Pm.upf
Y 88.91 Y.upf
Mg 24.30 Mg.upf
CELL_PARAMETERS angstrom
5.2615 3.0377 5.0870
-5.2615 3.0377 5.0870
0.0000 -6.0755 5.0870
ATOMIC_POSITIONS crystal
Pm 0.0965 0.0965 0.0965
Pm 0.9035 0.9035 0.9035
Y 0.3318 0.3318 0.3318
Y 0.6682 0.6682 0.6682
Mg 0.0000 0.0000 0.5000
Mg 0.0000 0.3043 0.6957
Mg 0.0000 0.5000 0.0000
Mg 0.0000 0.6957 0.3043
Mg 0.1605 0.6441 0.6441
Mg 0.3043 0.0000 0.6957
Mg 0.3043 0.6957 0.0000
Mg 0.3559 0.3559 0.8395
Mg 0.3559 0.8395 0.3559
Mg 0.5000 0.0000 0.0000
Mg 0.6441 0.1605 0.6441
Mg 0.6441 0.6441 0.1605
Mg 0.6957 0.0000 0.3043
Mg 0.6957 0.3043 0.0000
Mg 0.8395 0.3559 0.3559

=====

Record 3
! ScTl2Ir (PBE, relaxed); values from VASP
! * formation energy: -1.3 kJ/mol of atoms
&SYSTEM
  ibrav = 0, nat = 4, ntyp = 3
/
ATOMIC_SPECIES
Sc 44.96 Sc.upf
Tl 204.38 Tl.upf
Ir 192.22 Ir.upf
CELL_PARAMETERS angstrom
0.0000 3.4179 3.4179
3.4179 0.0000 3.4179
3.4179 3.4179 0.0000
ATOMIC_POSITIONS crystal
Sc 0.0000 0.0000 0.0000
Tl 0.2500 0.2500 0.2500
Tl 0.7500 0.7500 0.7500
Ir 0.5000 0.5000 0.5000

=====

Record 4
! Zn2CuCl (PBE, relaxed); values from VASP
! * formation energy without anion corrections: 9 kJ/mol of formula units
&SYSTEM
  ibrav = 0, nat = 4, ntyp = 3
/
ATOMIC_SPECIES
Zn 65.41 Zn.upf
Cu 63.55 Cu.upf
Cl 35.45 Cl.upf
CELL_PARAMETERS angstrom
1.5981 -2.7620 0.0000
1.5981 2.7620 0.0000
0.0000 0.0000 7.8307
ATOMIC_POSITIONS crystal
Zn 0.0000 0.0000 0.0000
Zn 0.5000 0.5000 0.2571
Cu 0.0000 0.0000 0.4954
Cl 0.5000 0.5000 0.7352

=====

Record 5
! BaLa2Br2 (PBE, relaxed); values from VASP
! * formation energy without anion corrections: -355 kJ/mol of formula units
&SYSTEM
  ibrav = 0, nat = 5, ntyp = 3
/
ATOMIC_SPECIES
Ba 137.33 Ba.upf
La 138.91 La.upf
Br 79.90 Br.upf
CELL_PARAMETERS angstrom
-2.6882 2.6882 6.4795
2.6882 -2.6882 6.4795
2.6882 2.6882 -6.4795
ATOMIC_POSITIONS crystal
Ba 0.0000 0.0000 0.0000
La 0.3938 0.3938 0.0000
La 0.6062 0.6062 0.0000
Br 0.2500 0.7500 0.5000
Br 0.7500 0.2500 0.5000

=====

Record 6
! Dy14HoTl (PBE, relaxed); values from VASP
! * formation energy: -1.0 kJ/mol of atoms
&SYSTEM
  ibrav = 0, nat = 16, ntyp = 3
/
ATOMIC_SPECIES
Dy 162.50 Dy.upf
Ho 164.93 Ho.upf
Tl 204.38 Tl.upf
CELL_PARAMETERS angstrom
9.9946 0.0000 0.0000
0.0000 4.9663 4.9664
0.0000 -4.9663 4.9664
ATOMIC_POSITIONS crystal
Dy 0.0000 0.9998 0.9998
Dy 0.0000 0.9998 0.5000
Dy 0.0000 0.5000 0.9998
Dy 0.0000 0.5000 0.5000
Dy 0.2514 0.2505 0.2505
Dy 0.2518 0.2504 0.7491
Dy 0.2518 0.7491 0.2504
Dy 0.2520 0.7493 0.7493
Dy 0.5000 0.0000 0.4990
Dy 0.5000 0.4990 0.0000
Dy 0.7482 0.2504 0.7491
Dy 0.7482 0.7491 0.2504
Dy 0.7480 0.7493 0.7493
Dy 0.7486 0.2505 0.2505
Ho 0.5000 0.4997 0.4997
Tl 0.5000 0.9996 0.9996

=====

Record 7
! RbCdPt2S (PBE, relaxed); values from VASP
! * formation energy without anion corrections: 81 kJ/mol of formula units
&SYSTEM
  ibrav = 0, nat = 5, ntyp = 4
/
ATOMIC_SPECIES
Rb 85.47 Rb.upf
Cd 112.41 Cd.upf
Pt 195.08 Pt.upf
S 32.06 S.upf
CELL_PARAMETERS angstrom
4.5973 0.0000 0.0000
0.0000 4.5973 0.0000
0.0000 0.0000 6.2665
ATOMIC_POSITIONS crystal
Rb 0.0000 0.0000 0.0000
Cd 0.5000 0.5000 0.0000
Pt 0.0000 0.5000 0.5000
Pt 0.5000 0.0000 0.5000
S 0.0000 0.0000 0.5000

=====

Record 8
! La2TcRu (PBE, relaxed); values from VASP
! * formation energy: 27.7 kJ/mol of atoms
&SYSTEM
  ibrav = 0, nat = 4, ntyp = 3
/
ATOMIC_SPECIES
La 138.91 La.upf
Tc 98.00 Tc.upf
Ru 101.07 Ru.upf
CELL_PARAMETERS angstrom
-2.0513 2.0513 5.1997
2.0513 -2.0513 5.1997
2.0513 2.0513 -5.1997
ATOMIC_POSITIONS crystal
La 0.0000 0.0000 0.0000
La 0.7500 0.2500 0.5000
Tc 0.5000 0.5000 0.0000
Ru 0.2500 0.7500 0.5000

=====

Record 9
! TaPbS2 (PBE, relaxed); values from VASP
! * formation energy without anion corrections: -66 kJ/mol of formula units
&SYSTEM
  ibrav = 0, nat = 8, ntyp = 3
/
ATOMIC_SPECIES
Ta 180.95 Ta.upf
Pb 207.20 Pb.upf
S 32.06 S.upf
CELL_PARAMETERS angstrom
-3.1700 3.1700 5.5287
3.1700 -3.1700 5.5287
3.1700 3.1700 -5.5287
ATOMIC_POSITIONS crystal
Ta 0.0000 0.0000 0.0000
Ta 0.7500 0.2500 0.5000
Pb 0.2500 0.7500 0.5000
Pb 0.5000 0.5000 0.0000
S 0.0390 0.6250 0.9140
S 0.3750 0.2890 0.4140
S 0.7110 0.1250 0.0860
S 0.8750 0.9610 0.5860

=====

Record 10
! Mn2Al5GaFe (PBE, relaxed); values from VASP
! * formation energy: 23.4 kJ/mol of atoms
&SYSTEM
  ibrav = 0, nat = 9, ntyp = 4
/
ATOMIC_SPECIES
Mn 54.94 Mn.upf
Al 26.98 Al.upf
Ga 69.72 Ga.upf
Fe 55.84 Fe.upf
CELL_PARAMETERS angstrom
-2.1851 2.9113 6.1910
2.1851 -2.9113 6.1910
2.1851 2.9113 -6.1910
ATOMIC_POSITIONS crystal
Mn 0.1923 0.1923 0.0000
Mn 0.8077 0.8077 0.0000
Al 0.0000 0.0000 0.0000
Al 0.1055 0.3512 0.7543
Al 0.4032 0.6488 0.7543
Al 0.5968 0.3512 0.2457
Al 0.8945 0.6488 0.2457
Ga 0.5000 0.0000 0.5000
Fe 0.0000 0.5000 0.5000

=====

Record 11
! LiTbDySc (PBE, relaxed); values from VASP
! * formation energy: 14.7 kJ/mol of atoms
&SYSTEM
  ibrav = 0, nat = 4, ntyp = 4
/
ATOMIC_SPECIES
Li 6.94 Li.upf
Tb 158.93 Tb.upf
Dy 162.50 Dy.upf
Sc 44.96 Sc.upf
CELL_PARAMETERS angstrom
0.0000 3.7736 3.7736
3.7736 0.0000 3.7736
3.7736 3.7736 0.0000
ATOMIC_POSITIONS crystal
Li 0.0000 0.0000 0.0000
Tb 0.7500 0.7500 0.7500
Dy 0.2500 0.2500 0.2500
Sc 0.5000 0.5000 0.5000

=====

Record 12
! SrLi2Al2Sn2 (PBE, relaxed); values from VASP
! * formation energy: -36.0 kJ/mol of atoms
&SYSTEM
  ibrav = 0, nat = 7, ntyp = 4
/
ATOMIC_SPECIES
Sr 87.62 Sr.upf
Li 6.94 Li.upf
Al 26.98 Al.upf
Sn 118.71 Sn.upf
CELL_PARAMETERS angstrom
2.2938 1.3243 8.9157
-2.2938 1.3243 8.9157
0.0000 -2.6486 8.9157
ATOMIC_POSITIONS crystal
Sr 0.0000 0.0000 0.0000
Li 0.1457 0.1457 0.1457
Li 0.8543 0.8543 0.8543
Al 0.4495 0.4495 0.4495
Al 0.5505 0.5505 0.5505
Sn 0.2537 0.2537 0.2537
Sn 0.7463 0.7463 0.7463